Computed, not measured: a relaxed Tb3SmSc3 crystal at the PBE level of DFT. Values from VASP.

Quantum ESPRESSO input file:
```
&SYSTEM
  ibrav = 0, nat = 14, ntyp = 3
/
ATOMIC_SPECIES
Tb 158.93 Tb.upf
Sm 150.36 Sm.upf
Sc 44.96 Sc.upf
CELL_PARAMETERS angstrom
9.2615 0.0000 0.0000
-4.6307 8.0207 0.0000
0.0000 0.0000 5.4821
ATOMIC_POSITIONS crystal
Tb 0.0490 0.8043 0.2500
Tb 0.1957 0.2447 0.2500
Tb 0.2447 0.0490 0.7500
Tb 0.7553 0.9510 0.2500
Tb 0.8043 0.7553 0.7500
Tb 0.9510 0.1957 0.7500
Sm 0.3333 0.6667 0.2500
Sm 0.6667 0.3333 0.7500
Sc 0.0966 0.6146 0.7500
Sc 0.3854 0.4820 0.7500
Sc 0.4820 0.0966 0.2500
Sc 0.5180 0.9034 0.7500
Sc 0.6146 0.5180 0.2500
Sc 0.9034 0.3854 0.2500
```

Output
The calculation puts the offset from the most stable computed form at 0 meV per atom.

Computed, not measured: a relaxed Tb15Sm2Sc2 crystal at the PBE level of DFT. Values from VASP.

Quantum ESPRESSO input file:
```
&SYSTEM
  ibrav = 0, nat = 19, ntyp = 3
/
ATOMIC_SPECIES
Tb 158.93 Tb.upf
Sm 150.36 Sm.upf
Sc 44.96 Sc.upf
CELL_PARAMETERS angstrom
5.5696 3.2156 5.8165
-5.5696 3.2156 5.8165
0.0000 -6.4312 5.8165
ATOMIC_POSITIONS crystal
Tb 0.0000 0.0000 0.5000
Tb 0.0000 0.2932 0.7068
Tb 0.0000 0.5000 0.0000
Tb 0.0000 0.7068 0.2932
Tb 0.1472 0.6322 0.6322
Tb 0.2932 0.0000 0.7068
Tb 0.2932 0.7068 0.0000
Tb 0.3678 0.3678 0.8528
Tb 0.3678 0.8528 0.3678
Tb 0.5000 0.0000 0.0000
Tb 0.6322 0.1472 0.6322
Tb 0.6322 0.6322 0.1472
Tb 0.7068 0.0000 0.2932
Tb 0.7068 0.2932 0.0000
Tb 0.8528 0.3678 0.3678
Sm 0.3209 0.3209 0.3209
Sm 0.6791 0.6791 0.6791
Sc 0.0909 0.0909 0.0909
Sc 0.9091 0.9091 0.9091
```

Computed, not measured: a relaxed Tb8Sm6Sc crystal at the PBE level of DFT. Values from VASP.

Quantum ESPRESSO input file:
```
&SYSTEM
  ibrav = 0, nat = 15, ntyp = 3
/
ATOMIC_SPECIES
Tb 158.93 Tb.upf
Sm 150.36 Sm.upf
Sc 44.96 Sc.upf
CELL_PARAMETERS angstrom
4.8586 2.8051 5.9362
-4.8586 2.8051 5.9362
0.0000 -5.6102 5.9362
ATOMIC_POSITIONS crystal
Tb 0.0860 0.0860 0.0860
Tb 0.1478 0.2697 0.5732
Tb 0.2697 0.5732 0.1478
Tb 0.4268 0.8522 0.7303
Tb 0.5732 0.1478 0.2697
Tb 0.7303 0.4268 0.8522
Tb 0.8522 0.7303 0.4268
Tb 0.9140 0.9140 0.9140
Sm 0.1132 0.5755 0.7809
Sm 0.2191 0.8868 0.4245
Sm 0.4245 0.2191 0.8868
Sm 0.5755 0.7809 0.1132
Sm 0.7809 0.1132 0.5755
Sm 0.8868 0.4245 0.2191
Sc 0.5000 0.5000 0.5000
```

Output
The calculation puts the offset from the most stable computed form at 72 meV per atom.

Computed, not measured: a relaxed TbSmSc2 crystal at the PBE level of DFT. Values from VASP.

Quantum ESPRESSO input file:
```
&SYSTEM
  ibrav = 0, nat = 4, ntyp = 3
/
ATOMIC_SPECIES
Tb 158.93 Tb.upf
Sm 150.36 Sm.upf
Sc 44.96 Sc.upf
CELL_PARAMETERS angstrom
1.7229 0.9947 10.9874
-1.7229 0.9947 10.9874
0.0000 -1.9894 10.9874
ATOMIC_POSITIONS crystal
Tb 0.0000 0.0000 0.0000
Sm 0.5000 0.5000 0.5000
Sc 0.2505 0.2505 0.2505
Sc 0.7495 0.7495 0.7495
```

Output
The calculation puts the offset from the most stable computed form at 9 meV per atom.

Computed, not measured: a relaxed Tb6SmSc8 crystal at the PBE level of DFT. Values from VASP.

Quantum ESPRESSO input file:
```
&SYSTEM
  ibrav = 0, nat = 15, ntyp = 3
/
ATOMIC_SPECIES
Tb 158.93 Tb.upf
Sm 150.36 Sm.upf
Sc 44.96 Sc.upf
CELL_PARAMETERS angstrom
4.6075 2.6601 5.7618
-4.6075 2.6601 5.7618
0.0000 -5.3202 5.7618
ATOMIC_POSITIONS crystal
Tb 0.1719 0.4330 0.6198
Tb 0.3802 0.8281 0.5670
Tb 0.4330 0.6198 0.1719
Tb 0.5670 0.3802 0.8281
Tb 0.6198 0.1719 0.4330
Tb 0.8281 0.5670 0.3802
Sm 0.0000 0.0000 0.0000
Sc 0.0468 0.8728 0.3786
Sc 0.1272 0.6214 0.9532
Sc 0.2322 0.2322 0.2322
Sc 0.3786 0.0468 0.8728
Sc 0.6214 0.9532 0.1272
Sc 0.7678 0.7678 0.7678
Sc 0.8728 0.3786 0.0468
Sc 0.9532 0.1272 0.6214
```

Computed, not measured: a relaxed Tb3SmSc6 crystal at the PBE level of DFT. Values from VASP.

Quantum ESPRESSO input file:
```
&SYSTEM
  ibrav = 0, nat = 10, ntyp = 3
/
ATOMIC_SPECIES
Tb 158.93 Tb.upf
Sm 150.36 Sm.upf
Sc 44.96 Sc.upf
CELL_PARAMETERS angstrom
4.6517 2.6857 3.7481
-4.6517 2.6857 3.7481
0.0000 -5.3714 3.7481
ATOMIC_POSITIONS crystal
Tb 0.0000 0.0000 0.0000
Tb 0.2492 0.2492 0.2492
Tb 0.4983 0.4983 0.4983
Sm 0.7493 0.7493 0.7493
Sc 0.0805 0.4186 0.7497
Sc 0.2500 0.9204 0.5791
Sc 0.4186 0.7497 0.0805
Sc 0.5791 0.2500 0.9204
Sc 0.7497 0.0805 0.4186
Sc 0.9204 0.5791 0.2500
```

Output
The calculation puts the offset from the most stable computed form at 248 meV per atom.

Computed, not measured: a relaxed Tb3Sm12Sc crystal at the PBE level of DFT. Values from VASP.

Quantum ESPRESSO input file:
```
&SYSTEM
  ibrav = 0, nat = 16, ntyp = 3
/
ATOMIC_SPECIES
Tb 158.93 Tb.upf
Sm 150.36 Sm.upf
Sc 44.96 Sc.upf
CELL_PARAMETERS angstrom
5.0853 0.0000 0.0000
0.0000 5.0853 0.0000
0.0000 0.0000 20.2867
ATOMIC_POSITIONS crystal
Tb 0.0000 0.0000 0.0000
Tb 0.0000 0.0000 0.2525
Tb 0.0000 0.0000 0.7475
Sm 0.0000 0.5000 0.1263
Sm 0.0000 0.5000 0.3788
Sm 0.0000 0.5000 0.6212
Sm 0.0000 0.5000 0.8737
Sm 0.5000 0.0000 0.1263
Sm 0.5000 0.0000 0.3788
Sm 0.5000 0.0000 0.6212
Sm 0.5000 0.0000 0.8737
Sm 0.5000 0.5000 0.0000
Sm 0.5000 0.5000 0.2528
Sm 0.5000 0.5000 0.5000
Sm 0.5000 0.5000 0.7472
Sc 0.0000 0.0000 0.5000
```

Computed, not measured: a relaxed Tb2Sm7Sc3 crystal at the PBE level of DFT. Values from VASP.

Quantum ESPRESSO input file:
```
&SYSTEM
  ibrav = 0, nat = 12, ntyp = 3
/
ATOMIC_SPECIES
Tb 158.93 Tb.upf
Sm 150.36 Sm.upf
Sc 44.96 Sc.upf
CELL_PARAMETERS angstrom
2.8245 -18.6995 0.0000
2.8245 18.6995 0.0000
0.0000 0.0000 3.5485
ATOMIC_POSITIONS crystal
Tb 0.1503 0.8497 0.0000
Tb 0.8497 0.1503 0.0000
Sm 0.0000 0.0000 0.0000
Sm 0.0723 0.9277 0.5000
Sm 0.2329 0.7671 0.0000
Sm 0.4073 0.5927 0.0000
Sm 0.5927 0.4073 0.0000
Sm 0.7671 0.2329 0.0000
Sm 0.9277 0.0723 0.5000
Sc 0.3143 0.6857 0.5000
Sc 0.5000 0.5000 0.5000
Sc 0.6857 0.3143 0.5000
```

Computed, not measured: a relaxed Tb8SmSc2 crystal at the PBE level of DFT. Values from VASP.

Quantum ESPRESSO input file:
```
&SYSTEM
  ibrav = 0, nat = 11, ntyp = 3
/
ATOMIC_SPECIES
Tb 158.93 Tb.upf
Sm 150.36 Sm.upf
Sc 44.96 Sc.upf
CELL_PARAMETERS angstrom
4.4376 -7.9523 0.0000
4.4376 7.9523 0.0000
-3.1446 0.0000 4.8674
ATOMIC_POSITIONS crystal
Tb 0.0975 0.3385 0.6741
Tb 0.2082 0.7918 0.0000
Tb 0.3385 0.0975 0.6741
Tb 0.4271 0.4271 0.2076
Tb 0.5729 0.5729 0.7924
Tb 0.6615 0.9025 0.3259
Tb 0.7918 0.2082 0.0000
Tb 0.9025 0.6615 0.3259
Sm 0.0000 0.0000 0.0000
Sc 0.3097 0.6903 0.5000
Sc 0.6903 0.3097 0.5000
```

Output
The calculation puts the offset from the most stable computed form at 45 meV per atom.

Computed, not measured: a relaxed TbSm3Sc3 crystal at the PBE level of DFT. Values from VASP.

Quantum ESPRESSO input file:
```
&SYSTEM
  ibrav = 0, nat = 14, ntyp = 3
/
ATOMIC_SPECIES
Tb 158.93 Tb.upf
Sm 150.36 Sm.upf
Sc 44.96 Sc.upf
CELL_PARAMETERS angstrom
9.3033 0.0000 0.0000
-4.6517 8.0569 0.0000
0.0000 0.0000 5.5269
ATOMIC_POSITIONS crystal
Tb 0.3333 0.6667 0.2500
Tb 0.6667 0.3333 0.7500
Sm 0.0495 0.8015 0.2500
Sm 0.1985 0.2480 0.2500
Sm 0.2480 0.0495 0.7500
Sm 0.7520 0.9505 0.2500
Sm 0.8015 0.7520 0.7500
Sm 0.9505 0.1985 0.7500
Sc 0.0967 0.6127 0.7500
Sc 0.3873 0.4839 0.7500
Sc 0.4839 0.0967 0.2500
Sc 0.5161 0.9033 0.7500
Sc 0.6127 0.5161 0.2500
Sc 0.9033 0.3873 0.2500
```

Output
The calculation puts the offset from the most stable computed form at 0 meV per atom.

Computed, not measured: a relaxed TbSm12Sc2 crystal at the PBE level of DFT. Values from VASP.

Quantum ESPRESSO input file:
```
&SYSTEM
  ibrav = 0, nat = 30, ntyp = 3
/
ATOMIC_SPECIES
Tb 158.93 Tb.upf
Sm 150.36 Sm.upf
Sc 44.96 Sc.upf
CELL_PARAMETERS angstrom
3.4421 -5.4380 0.0000
3.4421 5.4380 0.0000
-1.1958 0.0000 26.1868
ATOMIC_POSITIONS crystal
Tb 0.2469 0.2469 0.0032
Tb 0.7531 0.7531 0.9968
Sm 0.0246 0.5547 0.2039
Sm 0.1458 0.5148 0.3320
Sm 0.1600 0.1600 0.4426
Sm 0.1886 0.5348 0.5535
Sm 0.2181 0.2181 0.6524
Sm 0.2206 0.2206 0.8727
Sm 0.2425 0.7308 0.9309
Sm 0.2692 0.2692 0.1351
Sm 0.2692 0.7575 0.0691
Sm 0.4453 0.9754 0.7961
Sm 0.4652 0.8114 0.4465
Sm 0.4852 0.8542 0.6680
Sm 0.5148 0.1458 0.3320
Sm 0.5348 0.1886 0.5535
Sm 0.5547 0.0246 0.2039
Sm 0.7308 0.2425 0.9309
Sm 0.7308 0.7308 0.8649
Sm 0.7575 0.2692 0.0691
Sm 0.7794 0.7794 0.1273
Sm 0.7819 0.7819 0.3476
Sm 0.8114 0.4652 0.4465
Sm 0.8400 0.8400 0.5574
Sm 0.8542 0.4852 0.6680
Sm 0.9754 0.4453 0.7961
Sc 0.0588 0.0588 0.2495
Sc 0.4658 0.4658 0.7579
Sc 0.5342 0.5342 0.2421
Sc 0.9412 0.9412 0.7505
```

Computed, not measured: a relaxed TbSm7Sc4 crystal at the PBE level of DFT. Values from VASP.

Quantum ESPRESSO input file:
```
&SYSTEM
  ibrav = 0, nat = 12, ntyp = 3
/
ATOMIC_SPECIES
Tb 158.93 Tb.upf
Sm 150.36 Sm.upf
Sc 44.96 Sc.upf
CELL_PARAMETERS angstrom
7.7856 -2.9139 0.0000
7.7856 2.9139 0.0000
-4.7271 0.0000 8.1937
ATOMIC_POSITIONS crystal
Tb 0.0000 0.0000 0.0000
Sm 0.0897 0.0897 0.4506
Sm 0.2099 0.2099 0.8848
Sm 0.2370 0.2370 0.2729
Sm 0.5000 0.5000 0.0000
Sm 0.7630 0.7630 0.7271
Sm 0.7901 0.7901 0.1152
Sm 0.9103 0.9103 0.5494
Sc 0.3358 0.3358 0.6495
Sc 0.4433 0.4433 0.3011
Sc 0.5567 0.5567 0.6989
Sc 0.6642 0.6642 0.3505
```

Output
The calculation puts the offset from the most stable computed form at 201 meV per atom.

Calculated values (eV/f.u.) of ΔE_f for the records, taken in order: 0.25; 5.31; 2.82; 0.24; 2.96; 4.06; 0.36; 2.03; 1.85; 0.31; 1.31; 2.79.